[1]
Computed, not measured: ZrNbSi2Se after structural relaxation at the GGA-PBE level of DFT.

abc: 4.791 4.791 4.674
angles: 90.00 90.00 90.00
Atoms (fractional coordinates):
Zr 0.000 0.000 0.000
Nb 0.500 0.500 0.000
Si 0.000 0.500 0.500
Si 0.500 0.000 0.500
Se 0.500 0.500 0.500

The total magnetization comes out at 0.00 μB/f.u. The formation energy (no corrections) is 0.822 eV per atom. For the density of states at the Fermi level, the calculation gives 5.4 states/eV per cell. Its space group is No. 123. The crystal system is tetragonal.

***

[2]
Computed, not measured: RbNbN2F after structural relaxation at the GGA-PBE level of DFT.

abc: 4.110 4.110 4.509
angles: 90.00 90.00 90.00
Atoms (fractional coordinates):
Rb 0.000 0.000 0.000
Nb 0.500 0.500 0.500
N 0.000 0.500 0.500
N 0.500 0.000 0.500
F 0.500 0.500 0.000

The total magnetization comes out at 0.61 μB/f.u. The formation energy (no corrections) is -0.891 eV per atom. For the density of states at the Fermi level, the calculation gives 1.3 states/eV per cell. Its space group is No. 123. The crystal system is tetragonal.

***

[3]
Computed, not measured: YMo after structural relaxation at the GGA-PBE level of DFT.

abc: 5.520 5.520 8.409
angles: 109.87 109.87 34.82
Atoms (fractional coordinates):
Y 0.000 0.000 0.000
Y 0.320 0.320 0.214
Y 0.680 0.680 0.786
Mo 0.000 0.000 0.500
Mo 0.339 0.339 0.602
Mo 0.661 0.661 0.398

The total magnetization comes out at 0.00 μB/f.u. The energy comes out at -8.339 eV per atom. For the density of states at the Fermi level, the calculation gives 9.1 states/eV per cell. Its space group is No. 12. The crystal system is monoclinic.

***

[4]
Computed, not measured: Pm2NdAg2 after structural relaxation at the GGA-PBE level of DFT.

abc: 3.741 5.409 13.914
angles: 90.00 97.68 90.00
Atoms (fractional coordinates):
Pm 0.048 0.250 0.095
Pm 0.235 0.250 0.469
Pm 0.765 0.750 0.531
Pm 0.952 0.750 0.905
Nd 0.145 0.750 0.290
Nd 0.855 0.250 0.710
Ag 0.358 0.750 0.716
Ag 0.454 0.250 0.907
Ag 0.546 0.750 0.093
Ag 0.642 0.250 0.284

The total magnetization comes out at 0.00 μB/f.u. The energy comes out at -4.189 eV per atom. For the density of states at the Fermi level, the calculation gives 9.7 states/eV per cell. Its space group is No. 11. The crystal system is monoclinic.

***

[5]
Computed, not measured: BeFeSe after structural relaxation at the GGA-PBE level of DFT.

abc: 3.858 3.858 3.060
angles: 90.00 90.00 120.00
Atoms (fractional coordinates):
Be 0.000 0.000 0.000
Fe 0.667 0.333 0.500
Se 0.333 0.667 0.500

The total magnetization comes out at 0.95 μB/f.u. The formation energy (no corrections) is 0.422 eV per atom. For the density of states at the Fermi level, the calculation gives 2.1 states/eV per cell. Its space group is No. 187. The crystal system is hexagonal.

***

[6]
Computed, not measured: Ac4USe10 after structural relaxation at the GGA-PBE level of DFT.

abc: 8.949 8.949 8.949
angles: 98.25 98.25 135.47
Atoms (fractional coordinates):
Ac 0.100 0.301 0.400
Ac 0.301 0.900 0.201
Ac 0.699 0.100 0.799
Ac 0.900 0.699 0.600
U 0.500 0.500 0.000
Se 0.081 0.171 0.723
Se 0.171 0.448 0.090
Se 0.250 0.750 0.500
Se 0.358 0.081 0.910
Se 0.448 0.358 0.277
Se 0.552 0.642 0.723
Se 0.642 0.919 0.090
Se 0.750 0.250 0.500
Se 0.829 0.552 0.910
Se 0.919 0.829 0.277

The total magnetization comes out at 0.01 μB/f.u. The formation energy (no corrections) is -1.497 eV per atom. For the density of states at the Fermi level, the calculation gives 5.7 states/eV per cell. Its space group is No. 87. The crystal system is tetragonal.

***

[7]
Computed, not measured: PrH6Rh after structural relaxation at the GGA-PBE level of DFT.

abc: 4.707 4.707 4.707
angles: 58.32 58.32 58.32
Atoms (fractional coordinates):
Pr 0.000 0.000 0.000
H 0.073 0.598 0.598
H 0.402 0.402 0.927
H 0.402 0.927 0.402
H 0.598 0.073 0.598
H 0.598 0.598 0.073
H 0.927 0.402 0.402
Rh 0.500 0.500 0.500

The total magnetization comes out at 0.00 μB/f.u. The energy comes out at -4.450 eV per atom. For the density of states at the Fermi level, the calculation gives 0.0 states/eV per cell. Its space group is No. 166. The crystal system is trigonal.

***

[8]
Computed, not measured: TcMoOsRu after structural relaxation at the GGA-PBE level of DFT.

abc: 5.829 5.829 5.829
angles: 152.54 136.13 52.53
Atoms (fractional coordinates):
Tc 0.000 0.000 0.000
Mo 0.340 0.840 0.500
Os 0.775 0.275 0.500
Ru 0.567 0.567 0.000

The total magnetization comes out at 0.00 μB/f.u. The energy comes out at -10.112 eV per atom. For the density of states at the Fermi level, the calculation gives 4.5 states/eV per cell. Its space group is No. 44. The crystal system is orthorhombic.

***

[9]
Computed, not measured: SrAlH4Br after structural relaxation at the GGA-PBE level of DFT.

abc: 6.271 6.271 6.982
angles: 99.99 99.99 69.84
Atoms (fractional coordinates):
Sr 0.227 0.227 0.154
Sr 0.773 0.773 0.846
Al 0.377 0.377 0.752
Al 0.623 0.623 0.248
H 0.159 0.505 0.879
H 0.304 0.304 0.523
H 0.464 0.464 0.222
H 0.495 0.841 0.121
H 0.505 0.159 0.879
H 0.536 0.536 0.778
H 0.696 0.696 0.477
H 0.841 0.495 0.121
Br 0.046 0.046 0.754
Br 0.954 0.954 0.246

The total magnetization comes out at 0.00 μB/f.u. The energy comes out at -3.501 eV per atom. For the density of states at the Fermi level, the calculation gives 0.0 states/eV per cell. Its space group is No. 12. The crystal system is monoclinic.

***

[10]
Computed, not measured: Na2VW2 after structural relaxation at the GGA-PBE level of DFT.

abc: 8.123 8.123 8.123
angles: 154.93 154.93 35.76
Atoms (fractional coordinates):
Na 0.250 0.750 0.500
Na 0.750 0.250 0.500
V 0.000 0.000 0.000
W 0.426 0.426 0.000
W 0.574 0.574 0.000

The total magnetization comes out at 0.00 μB/f.u. The energy comes out at -6.400 eV per atom. For the density of states at the Fermi level, the calculation gives 4.1 states/eV per cell. Its space group is No. 139. The crystal system is tetragonal.

***

[11]
Computed, not measured: Mn2InW after structural relaxation at the GGA-PBE level of DFT.

abc: 3.067 3.067 6.198
angles: 90.00 90.00 90.00
Atoms (fractional coordinates):
Mn 0.000 0.000 0.221
Mn 0.000 0.000 0.779
In 0.500 0.500 0.500
W 0.500 0.500 0.000

The total magnetization comes out at 0.84 μB/f.u. The energy comes out at -8.302 eV per atom. For the density of states at the Fermi level, the calculation gives 3.9 states/eV per cell. Its space group is No. 123. The crystal system is tetragonal.

***

[12]
Computed, not measured: ZrCu2Pd9 after structural relaxation at the GGA-PBE level of DFT.

abc: 3.965 3.965 11.710
angles: 90.00 90.00 90.00
Atoms (fractional coordinates):
Zr 0.000 0.000 0.000
Cu 0.000 0.000 0.341
Cu 0.000 0.000 0.659
Pd 0.000 0.500 0.173
Pd 0.000 0.500 0.500
Pd 0.000 0.500 0.827
Pd 0.500 0.000 0.173
Pd 0.500 0.000 0.500
Pd 0.500 0.000 0.827
Pd 0.500 0.500 0.000
Pd 0.500 0.500 0.336
Pd 0.500 0.500 0.664

The total magnetization comes out at 0.00 μB/f.u. The energy comes out at -5.598 eV per atom. For the density of states at the Fermi level, the calculation gives 12.7 states/eV per cell. Its space group is No. 123. The crystal system is tetragonal.

***

[13]
Computed, not measured: La2ZnAu after structural relaxation at the GGA-PBE level of DFT.

abc: 3.946 3.946 7.178
angles: 90.00 90.00 90.00
Atoms (fractional coordinates):
La 0.000 0.000 0.000
La 0.500 0.500 0.359
Zn 0.000 0.000 0.567
Au 0.500 0.500 0.798

The total magnetization comes out at 0.89 μB/f.u. The energy comes out at -3.956 eV per atom. For the density of states at the Fermi level, the calculation gives 3.1 states/eV per cell. Its space group is No. 99. The crystal system is tetragonal.

***

[14]
Computed, not measured: Sm3ErN4 after structural relaxation at the GGA-PBE level of DFT.

abc: 5.023 5.023 5.023
angles: 90.00 90.00 90.00
Atoms (fractional coordinates):
Sm 0.000 0.000 0.500
Sm 0.000 0.500 0.000
Sm 0.500 0.000 0.000
Er 0.500 0.500 0.500
N 0.000 0.000 0.000
N 0.000 0.500 0.500
N 0.500 0.000 0.500
N 0.500 0.500 0.000

The total magnetization comes out at 0.00 μB/f.u. The formation energy (no corrections) is -1.533 eV per atom. For the density of states at the Fermi level, the calculation gives 1.2 states/eV per cell. Its space group is No. 221. The crystal system is cubic.

***

[15]
Computed, not measured: CrRhW2 after structural relaxation at the GGA-PBE level of DFT.

abc: 2.706 4.383 4.993
angles: 90.00 97.16 90.00
Atoms (fractional coordinates):
Cr 0.000 0.000 0.000
Rh 0.949 0.500 0.288
W 0.311 0.500 0.801
W 0.557 0.000 0.513

The total magnetization comes out at 0.00 μB/f.u. The energy comes out at -10.608 eV per atom. For the density of states at the Fermi level, the calculation gives 3.9 states/eV per cell. Its space group is No. 6. The crystal system is monoclinic.

***

[16]
Computed, not measured: LiAcBe2H8 after structural relaxation at the GGA-PBE level of DFT.

abc: 4.567 4.567 6.818
angles: 90.00 90.00 120.00
Atoms (fractional coordinates):
Li 0.000 0.000 0.000
Ac 0.000 0.000 0.500
Be 0.333 0.667 0.241
Be 0.667 0.333 0.759
H 0.064 0.338 0.198
H 0.273 0.936 0.198
H 0.333 0.667 0.463
H 0.338 0.273 0.802
H 0.662 0.727 0.198
H 0.667 0.333 0.537
H 0.727 0.064 0.802
H 0.936 0.662 0.802

The total magnetization comes out at 0.00 μB/f.u. The energy comes out at -3.690 eV per atom. For the density of states at the Fermi level, the calculation gives 0.0 states/eV per cell. Its space group is No. 147. The crystal system is trigonal.

***

[17]
Computed, not measured: HgBiIr2I after structural relaxation at the GGA-PBE level of DFT.

abc: 5.113 5.113 6.341
angles: 90.00 90.00 90.00
Atoms (fractional coordinates):
Hg 0.000 0.000 0.000
Bi 0.500 0.500 0.500
Ir 0.000 0.500 0.500
Ir 0.500 0.000 0.500
I 0.500 0.500 0.000

The total magnetization comes out at 1.89 μB/f.u. The formation energy (no corrections) is 1.538 eV per atom. For the density of states at the Fermi level, the calculation gives 5.9 states/eV per cell. Its space group is No. 123. The crystal system is tetragonal.

***

[18]
Computed, not measured: LaCe2Ge2 after structural relaxation at the GGA-PBE level of DFT.

abc: 7.838 7.838 7.838
angles: 135.85 113.62 83.21
Atoms (fractional coordinates):
La 0.370 0.120 0.250
La 0.630 0.880 0.750
Ce 0.038 0.632 0.406
Ce 0.274 0.368 0.906
Ce 0.726 0.632 0.094
Ce 0.962 0.368 0.594
Ge 0.111 0.861 0.250
Ge 0.356 0.606 0.750
Ge 0.644 0.394 0.250
Ge 0.889 0.139 0.750

The total magnetization comes out at 2.23 μB/f.u. The energy comes out at -5.735 eV per atom. For the density of states at the Fermi level, the calculation gives 18.8 states/eV per cell. Its space group is No. 74. The crystal system is orthorhombic.

***

[19]
Computed, not measured: YGaBr after structural relaxation at the GGA-PBE level of DFT.

abc: 12.604 12.604 12.604
angles: 18.51 18.51 18.51
Atoms (fractional coordinates):
Y 0.100 0.100 0.100
Y 0.900 0.900 0.900
Ga 0.182 0.182 0.182
Ga 0.818 0.818 0.818
Br 0.386 0.386 0.386
Br 0.614 0.614 0.614

The total magnetization comes out at 0.00 μB/f.u. The formation energy (no corrections) is -1.086 eV per atom. For the density of states at the Fermi level, the calculation gives 2.6 states/eV per cell. Its space group is No. 166. The crystal system is trigonal.

***

[20]
Computed, not measured: Sr2CaH2 after structural relaxation at the GGA-PBE level of DFT.

abc: 8.007 8.007 4.636
angles: 90.00 90.00 90.00
Atoms (fractional coordinates):
Sr 0.176 0.324 0.000
Sr 0.324 0.824 0.000
Sr 0.676 0.176 0.000
Sr 0.824 0.676 0.000
Ca 0.000 0.000 0.500
Ca 0.500 0.500 0.500
H 0.245 0.745 0.500
H 0.255 0.245 0.500
H 0.745 0.755 0.500
H 0.755 0.255 0.500

The total magnetization comes out at 0.00 μB/f.u. The energy comes out at -2.444 eV per atom. For the density of states at the Fermi level, the calculation gives 1.1 states/eV per cell. Its space group is No. 127. The crystal system is tetragonal.